10
Lattice="6.672 0.000 0.000 0.000 6.672 0.000 0.000 0.000 4.992" Properties=species:S:1:pos:R:3 comment="Hf2Sc2Tc | Alexandria via LeMat-Bulk | PBE | optimized geometry" crystal_system=tetragonal formation_energy_ev_per_fu=0.34 volume_a3_per_atom=22.2 total_energy_ha_per_atom=-0.31309 pbc="T T T"
Sc 1.112 4.448 2.496
Sc 4.448 5.560 2.496
Sc 5.560 2.224 2.496
Sc 2.224 1.112 2.496
Hf 2.327 5.663 0.000
Hf 5.663 4.345 0.000
Hf 4.345 1.009 0.000
Hf 1.009 2.327 0.000
Tc 0.000 0.000 0.000
Tc 3.336 3.336 0.000